Density functional theory data (PBE) for Tm6Th5 after structural relaxation.

Summary:
- SG: No. 12
- Theoretical density: 10.26 g cm⁻³
- Total DFT energy (no corrections): -0.209 Ha/atom
- Spin magnetization: 0.000 μB/atom
- Formation energy: 0.13 eV/atom

Cell and atoms, written as CIF:
```
data_Tm6Th5
_cell_length_a 10.1029
_cell_length_b 8.3471
_cell_length_c 6.0168
_cell_angle_alpha 72.72
_cell_angle_beta 60.60
_cell_angle_gamma 52.76
_space_group_name_H-M_alt 'P 1'
_space_group_IT_number 1
loop_
_space_group_symop_operation_xyz
'x,y,z'
loop_
_atom_site_label
_atom_site_type_symbol
_atom_site_fract_x
_atom_site_fract_y
_atom_site_fract_z
_atom_site_occupancy
Th1 Th 0.2363 0.5274 0.5000 1
Th2 Th 0.7637 0.4726 0.5000 1
Th3 Th 0.6343 0.7314 0.0000 1
Th4 Th 0.3657 0.2686 0.0000 1
Th5 Th 0.5000 0.0000 0.5000 1
Tm1 Tm 0.1794 0.0000 0.4234 1
Tm2 Tm 0.9493 0.7354 0.0894 1
Tm3 Tm 0.6847 0.2646 0.0894 1
Tm4 Tm 0.0507 0.2646 0.9106 1
Tm5 Tm 0.3153 0.7354 0.9106 1
Tm6 Tm 0.8206 0.0000 0.5766 1
```